Entry 1:
A plane-wave DFT calculation with GGA-PBE was carried out for a geometry-optimized BaSrHf structure.

Cell lengths 4.7080, 6.9822, 9.0714 Å; angles 78.37, 75.02, 89.96 degrees
Space group P1 (No. 1)
Unique sites:
Ba  0.0000  0.0000  0.0000 [1 per cell]
Ba  0.2671  0.8856  0.4642 [1 per cell]
Sr  0.5727  0.5328  0.8529 [1 per cell]
Sr  0.8386  0.4156  0.3189 [1 per cell]
Hf  0.1848  0.3191  0.6282 [1 per cell]
Hf  0.6557  0.1092  0.6874 [1 per cell]

Properties
* calculated total energy: -4.022 eV per atom
* volume: 282 Å³/cell
* ΔE_f: 497 meV/atom
* mass density: 4.8 g/cm³
* DOS(E_F): 6.22 states/eV/f.u.

Entry 2:
A plane-wave DFT calculation with GGA-PBE was carried out for a geometry-optimized BaSrHf structure.

Cell lengths 6.0444, 10.4589, 7.3498 Å; angles 90.00, 90.00, 90.00 degrees
Space group Cmcm (No. 63)
Unique sites:
Ba  0.0000  0.0000  0.0000 [4 per cell]
Sr  0.0000  0.3338  0.2500 [4 per cell]
Hf  0.0000  0.3328  0.7500 [4 per cell]

Properties
* calculated total energy: -3.666 eV per atom
* volume: 465 Å³/cell
* ΔE_f: 854 meV/atom
* mass density: 5.8 g/cm³
* DOS(E_F): 6.09 states/eV/f.u.

Entry 3:
A plane-wave DFT calculation with GGA-PBE was carried out for a geometry-optimized BaSrHfW2 structure.

Cell lengths 5.1136, 5.1136, 5.3627 Å; angles 90.00, 90.00, 90.00 degrees
Space group P4/mmm (No. 123)
Unique sites:
Ba  0.0000  0.0000  0.0000 [1 per cell]
Sr  0.5000  0.5000  0.5000 [1 per cell]
Hf  0.5000  0.5000  0.0000 [1 per cell]
W  0.0000  0.5000  0.5000 [2 per cell]

Properties
* calculated total energy: -5.160 eV per atom
* volume: 140 Å³/cell
* ΔE_f: 2733 meV/atom
* mass density: 9.1 g/cm³
* DOS(E_F): 7.93 states/eV/f.u.